! Tm3Si4Pt7 | the Alexandria database | GGA-PBE | relaxed; values from VASP
! Calculated volume, Å³/f.u.: 237
! Fermi-level density of states, states/eV/f.u.: 5.97
! Raw total energy, eV per atom: -6.65
&SYSTEM
  ibrav = 0, nat = 14, ntyp = 3
/
ATOMIC_SPECIES
Tm 168.93 Tm.upf
Si 28.09 Si.upf
Pt 195.08 Pt.upf
CELL_PARAMETERS angstrom
7.6982 -2.0028 0.0000
7.6982 2.0028 0.0000
-5.3327 0.0000 7.6913
ATOMIC_POSITIONS angstrom
Tm 0.0000 0.0000 0.0000
Tm 3.2903 0.0000 2.5552
Tm 6.7733 0.0000 5.1360
Si -2.6896 0.0000 6.3468
Si 1.2119 0.0000 5.6078
Si 8.8517 0.0000 2.0835
Si 12.7532 0.0000 1.3445
Pt -2.6663 0.0000 3.8456
Pt 0.3632 0.0000 3.2223
Pt -0.4186 0.0000 7.3570
Pt 3.6563 0.0000 5.6493
Pt 6.4074 0.0000 2.0420
Pt 10.4822 0.0000 0.3343
Pt 9.7004 0.0000 4.4690

***

! Tm7Si2Pt2 | the Alexandria database | GGA-PBE | relaxed; values from VASP
! Calculated volume, Å³/f.u.: 299
! Fermi-level density of states, states/eV/f.u.: 7.74
! Raw total energy, eV per atom: -5.48
&SYSTEM
  ibrav = 0, nat = 11, ntyp = 3
/
ATOMIC_SPECIES
Tm 168.93 Tm.upf
Si 28.09 Si.upf
Pt 195.08 Pt.upf
CELL_PARAMETERS angstrom
4.3023 -5.0903 0.0000
4.3023 5.0903 0.0000
0.0000 0.0000 6.8303
ATOMIC_POSITIONS angstrom
Tm 0.0000 0.0000 0.0000
Tm 2.1511 2.5452 1.7594
Tm 2.1511 2.5452 5.0708
Tm 2.1511 -2.5452 1.7594
Tm 2.1511 -2.5452 5.0708
Tm 4.3023 0.0000 1.7122
Tm 4.3023 0.0000 5.1181
Si 1.9238 0.0000 3.4151
Si 6.6808 0.0000 3.4151
Pt 4.3023 2.2534 0.0000
Pt 4.3023 -2.2534 0.0000